Below is a relaxed Li4Ti2Mn5O12 crystal, with properties calculated at the PBE with a Hubbard U level.

Summary:
ρ, g/cm³: 4.09
V, Å³/f.u.: 239.5
Space group: P2_1 (4)
DFT total energy, eV/atom: -7.328

Geometry as extended XYZ:
```
46
Lattice="5.297 0.000 0.000 0.000 9.056 0.000 -1.649 0.000 9.987" Properties=species:S:1:pos:R:3 pbc="T T T"
Li -0.411 0.000 2.602
Li -1.147 1.566 7.307
Li 0.537 1.594 4.974
Li 1.373 9.022 7.438
Li 2.276 4.495 2.548
Li 3.112 6.121 5.012
Li 4.795 6.094 2.680
Li 4.059 4.528 7.384
Ti 1.354 3.137 0.034
Ti 0.534 7.696 5.077
Ti 3.115 3.168 4.910
Ti 2.295 7.665 9.952
Mn -0.290 2.942 2.606
Mn 1.315 0.119 0.038
Mn 0.497 4.691 5.051
Mn -0.298 6.085 9.981
Mn 1.411 3.073 7.401
Mn 2.237 7.601 2.586
Mn 3.946 1.557 0.005
Mn 3.151 0.164 4.936
Mn 2.333 4.647 9.949
Mn 3.939 7.470 7.380
O 0.444 7.711 1.130
O -0.368 6.146 6.068
O -0.351 3.205 6.119
O 0.506 1.609 1.086
O -0.319 8.959 6.255
O 0.533 4.414 1.217
O 1.214 6.155 3.880
O 1.217 8.948 3.844
O 0.404 1.599 8.842
O 0.413 4.407 8.806
O 1.416 3.265 3.936
O 0.603 7.755 8.951
O 3.045 3.227 1.036
O 2.232 7.793 6.051
O 3.245 6.127 1.145
O 3.235 8.934 1.180
O 2.434 1.627 6.106
O 2.431 4.420 6.143
O 3.115 8.942 8.770
O 3.967 4.431 3.732
O 3.143 6.136 8.901
O 3.999 7.733 3.867
O 4.017 1.619 3.919
O 3.205 3.183 8.857
```